## SmLuAlNi (PBE-GGA)

Data for an optimized crystal structure of SmLuAlNi.

It has space group F-43m (No. 216), with a = 7.032 Å, b = 7.032 Å, c = 7.032 Å, α = 90.00°, β = 90.00° and γ = 90.00°. The inequivalent atoms are Sm at (0.000, 0.000, 0.000), Lu at (0.000, 0.000, 0.500), Al at (0.250, 0.250, 0.250) and Ni at (0.250, 0.250, 0.750).

The formation energy comes out at -0.30 eV per atom. The calculation puts the density of states at the Fermi level at 3.6 states/eV/f.u. As for the total magnetization: 0.0 μB/f.u.